Material: Dy2YGa3CuGe2
Method: DFT, PBE
State: optimized geometry

Output
Calculated volume in Å³/cell: 357.0
Final energy in eV per atom: -4.8453

abc: 4.153 12.203 7.045
angles: 90.00 90.00 90.00
Space group Amm2 (No. 38)
Unique sites:
Dy  0.000  0.200  0.000
Y  0.000  0.000  0.600
Ga  0.500  0.000  0.965
Ga  0.500  0.118  0.317
Cu  0.000  0.000  0.199
Ge  0.500  0.167  0.700